Here is a crystal of FeTc2Ru relaxed with PBEsol from the Alexandria database. Energies are from SCAN.

Calculated values
**Energy above the most stable polymorph in this dataset**: 106 meV/atom
**DOS(E_F)**: 4.06 states/eV/f.u.
**Crystal system**: trigonal

Cell lengths 2.6488, 2.6488, 8.7052 Å; angles 81.25, 81.25, 60.00 degrees
Closest atoms and distances in Å follow each position.
Atoms (fractional coordinates):
1 Fe 0.5000 0.5000 0.5000  6 Tc 2.57, 6 Fe 2.65
2 Ru 0.0000 0.0000 0.0000  6 Ru 2.65, 6 Tc 2.70
3 Tc 0.2470 0.2470 0.2589  3 Fe 2.57, 6 Tc 2.65, 3 Ru 2.70
4 Tc 0.7530 0.7530 0.7411  3 Fe 2.57, 6 Tc 2.65, 3 Ru 2.70

Here is a crystal of La2YMn relaxed with PBEsol from the Alexandria database. Energies are from SCAN.

Calculated values
**Energy above the most stable polymorph in this dataset**: 0 meV/atom
**DOS(E_F)**: 3.45 states/eV/f.u.
**Crystal system**: cubic

Cell lengths 5.3402, 5.3402, 5.3402 Å; angles 60.00, 60.00, 60.00 degrees
Closest atoms and distances in Å follow each position.
Atoms (fractional coordinates):
1 La 0.0000 0.0000 0.0000  4 La 3.27, 4 Y 3.27
2 La 0.7500 0.7500 0.7500  4 La 3.27, 4 Mn 3.27
3 Mn 0.5000 0.5000 0.5000  4 Y 3.27, 4 La 3.27
4 Y 0.2500 0.2500 0.2500  4 La 3.27, 4 Mn 3.27

Here is a crystal of As2PPt relaxed with PBEsol from the Alexandria database. Energies are from SCAN.

Calculated values
**DOS(E_F)**: 2.03 states/eV/f.u.
**Uncorrected energy**: -29.76 eV per atom
**Crystal system**: tetragonal

Cell lengths 4.0215, 4.0215, 4.0348 Å; angles 90.00, 90.00, 90.00 degrees
Closest atoms and distances in Å follow each position.
Atoms (fractional coordinates):
1 As 0.0000 0.5000 0.0000  4 As 2.84, 4 Pt 2.85, 4 P 2.85
2 As 0.5000 0.0000 0.0000  4 As 2.84, 4 P 2.85, 4 Pt 2.85
3 P 0.5000 0.5000 0.5000  4 Pt 2.84, 8 As 2.85
4 Pt 0.0000 0.0000 0.5000  4 P 2.84, 8 As 2.85

Here is a crystal of BeHgPb3 relaxed with PBEsol from the Alexandria database. Energies are from SCAN.

Calculated values
**DOS(E_F)**: 1.76 states/eV/f.u.
**Uncorrected energy**: -59.69 eV per atom
**Crystal system**: cubic

Cell lengths 5.0602, 5.0602, 5.0602 Å; angles 90.00, 90.00, 90.00 degrees
Closest atoms and distances in Å follow each position.
Atoms (fractional coordinates):
1 Pb 0.0000 0.5000 0.0000  2 Be 2.53
2 Pb 0.0000 0.0000 0.5000  2 Be 2.53
3 Pb 0.5000 0.0000 0.0000  2 Be 2.53
4 Be 0.0000 0.0000 0.0000  6 Pb 2.53
5 Hg 0.5000 0.5000 0.5000  12 Pb 3.58

Here is a crystal of La2Ti3O9 relaxed with PBEsol from the Alexandria database. Energies are from SCAN.

Calculated values
**Energy above the most stable polymorph in this dataset**: 120 meV/atom
**DOS(E_F)**: 0.00 states/eV/f.u.
**Formation energy without anion corrections**: -3.448 eV per atom
**Crystal system**: triclinic

Cell lengths 6.4009, 7.5288, 8.4513 Å; angles 90.11, 106.39, 86.04 degrees
Closest atoms and distances in Å follow each position.
Atoms (fractional coordinates):
1 La 0.7568 0.5693 0.0827  6 O 2.37-2.49
2 La 0.0400 0.9316 0.9082  6 O 2.32-2.54
3 La 0.5262 0.2176 0.7846  5 O 2.29-2.54
4 La 0.7836 0.8121 0.4703  7 O 2.37-2.60
5 O 0.4356 0.7150 0.5187  2 Ti 1.86-1.93
6 O 0.8398 0.4168 0.7303  2 Ti 1.88-1.98
7 O 0.8173 0.3583 0.3497  2 Ti 1.86-1.91
8 O 0.3235 0.9679 0.7937  1 Ti 1.85
9 O 0.1435 0.0459 0.1874  2 Ti 1.81-2.02
10 O 0.7906 0.2527 0.0321  1 Ti 1.88
11 O 0.6140 0.0495 0.2389  2 Ti 1.86-1.89
12 O 0.2715 0.2685 0.9775  1 Ti 1.78
13 O 0.0100 0.0566 0.4565  2 Ti 1.87-1.92
14 O 0.3139 0.3852 0.3161  2 Ti 1.83-1.85
15 O 0.1837 0.3393 0.6492  1 Ti 1.79
16 O 0.4397 0.5360 0.8573  2 Ti 1.89-2.06
17 O 0.7846 0.0749 0.6597  1 Ti 1.95
18 O 0.1059 0.6160 0.0254  1 Ti 1.88
19 O 0.0046 0.7107 0.3007  1 Ti 1.87
20 O 0.5149 0.6967 0.2301  1 Ti 1.82
21 O 0.7008 0.7935 0.8554  1 Ti 1.85
22 O 0.0854 0.7070 0.7060  1 Ti 1.89
23 Ti 0.9201 0.2574 0.5672  5 O 1.79-1.98
24 Ti 0.3520 0.1965 0.1883  4 O 1.78-1.89
25 Ti 0.4204 0.7483 0.7336  4 O 1.85-1.89
26 Ti 0.2881 0.6313 0.3025  4 O 1.82-1.93
27 Ti 0.8745 0.1499 0.2450  5 O 1.86-2.02
28 Ti 0.1177 0.4956 0.8328  5 O 1.88-2.07

Here is a crystal of LiAsIr relaxed with PBEsol from the Alexandria database. Energies are from SCAN.

Calculated values
**DOS(E_F)**: 1.73 states/eV/f.u.
**Uncorrected energy**: -31.65 eV per atom
**Crystal system**: hexagonal

Cell lengths 2.9294, 4.1514, 4.1514 Å; angles 120.00, 90.00, 90.00 degrees
Closest atoms and distances in Å follow each position.
Atoms (fractional coordinates):
1 As 0.0000 0.0000 0.0000  3 Ir 2.40
2 Ir 0.0000 0.6667 0.3333  3 As 2.40
3 Li 0.5000 0.3333 0.6667  6 As 2.81, 6 Ir 2.81, 2 Li 2.93

Here is a crystal of RhSN2Cl relaxed with PBEsol from the Alexandria database. Energies are from SCAN.

Calculated values
**Energy above the most stable polymorph in this dataset**: 1128 meV/atom
**DOS(E_F)**: 4.85 states/eV/f.u.
**Formation energy without anion corrections**: 2.278 eV per atom
**Crystal system**: tetragonal

Cell lengths 3.3795, 3.3795, 6.1690 Å; angles 90.00, 90.00, 90.00 degrees
Closest atoms and distances in Å follow each position.
Atoms (fractional coordinates):
1 S 0.0000 0.0000 0.5000  4 Rh 2.39
2 N 0.0000 0.5000 0.0000  2 Cl 1.69
3 N 0.5000 0.0000 0.0000  2 Cl 1.69
4 Rh 0.5000 0.5000 0.5000  4 S 2.39
5 Cl 0.0000 0.0000 0.0000  4 N 1.69

Here is a crystal of Ca3RuF relaxed with PBEsol from the Alexandria database. Energies are from SCAN.

Calculated values
**DOS(E_F)**: 3.15 states/eV/f.u.
**Formation energy without anion corrections**: -0.912 eV per atom
**Crystal system**: cubic

Cell lengths 4.6714, 4.6714, 4.6714 Å; angles 90.00, 90.00, 90.00 degrees
Closest atoms and distances in Å follow each position.
Atoms (fractional coordinates):
1 Ru 0.5000 0.5000 0.5000  12 Ca 3.30
2 Ca 0.0000 0.5000 0.0000  2 F 2.34
3 Ca 0.0000 0.0000 0.5000  2 F 2.34
4 Ca 0.5000 0.0000 0.0000  2 F 2.34
5 F 0.0000 0.0000 0.0000  6 Ca 2.34

Question: Which value of DOS(E_F) does entry 7 give?
Answer: 4.85 states/eV/f.u.